No. 1
# Tm4Cd2InAg (PBE, relaxed)
# - energy of formation (eV/atom) = -0.35
data_Tm4Cd2InAg
_chemical_formula_sum 'Tm4 Cd2 In1 Ag1'
_space_group_name_H-M_alt 'P 1'
_space_group_IT_number 1
_space_group_name_Hall 'P 1'
_cell_length_a 5.200
_cell_length_b 5.200
_cell_length_c 8.993
_cell_angle_alpha 73.20
_cell_angle_beta 73.20
_cell_angle_gamma 60.00
loop_
_atom_site_label
_atom_site_fract_x
_atom_site_fract_y
_atom_site_fract_z
_atom_site_occupancy
Tm1 0.873 0.873 0.382 1
Tm2 0.127 0.127 0.618 1
Tm3 0.622 0.622 0.133 1
Tm4 0.378 0.378 0.867 1
Cd1 0.251 0.251 0.247 1
Cd2 0.749 0.749 0.753 1
In1 0.000 0.000 0.000 1
Ag1 0.500 0.500 0.500 1

No. 2
# KLiAgO2 (PBE, relaxed)
# - energy above the most stable polymorph in this dataset (eV per formula unit) = 3.73
data_KLiAgO2
_chemical_formula_sum 'K1 Li1 Ag1 O2'
_space_group_name_H-M_alt 'P 1'
_space_group_IT_number 1
_space_group_name_Hall 'P 1'
_cell_length_a 4.122
_cell_length_b 4.192
_cell_length_c 4.122
_cell_angle_alpha 90.00
_cell_angle_beta 90.00
_cell_angle_gamma 90.00
loop_
_atom_site_label
_atom_site_fract_x
_atom_site_fract_y
_atom_site_fract_z
_atom_site_occupancy
K1 0.000 0.500 0.000 1
Li1 0.000 0.000 0.000 1
Ag1 0.500 0.500 0.500 1
O1 0.500 0.000 0.000 1
O2 0.000 0.000 0.500 1

Raw total energy values, unit eV per cell, following the record order: -28.1; -16.6.